## KAsCl (PBE)

Data for a relaxed structure of KAsCl.

Cell lengths 7.692, 7.692, 7.692 Å; angles 90.00, 90.00, 90.00 degrees
Space group F-43m (No. 216)
Unique sites:
K 0.000 0.000 0.000 [4 per cell]
As 0.000 0.000 0.500 [4 per cell]
Cl 0.250 0.250 0.750 [4 per cell]

Formation energy (no corrections) in eV per atom: -0.21
Polymorph energy (0 for the lowest one) in eV/atom: 0.183
Mass density in g/cm³: 2.181
Crystal system: cubic